VASP calculation (PBE+U) on a relaxed CuMoNF2 crystal.

As for the density of states at the Fermi level: 0.9 states/eV/cell. The calculation puts the total moment at 1.9 Bohr magnetons per cell. The value obtained for the offset from the most stable computed form is 0.000 kcal/mol of atoms.

Cell lengths 4.194, 4.194, 3.985 Å; angles 90.00, 90.00, 90.00 degrees
Fractional positions:
Cu1 0.000 0.000 0.000
Mo1 0.500 0.500 0.500
N1 0.500 0.500 0.000
F1 0.000 0.500 0.500
F2 0.500 0.000 0.500